# 1
Material: BiF6
Method: DFT, PBE
State: relaxed

Properties
E_form (uncorrected) ... -9.9 eV per formula unit
Crystal system ... orthorhombic

a = 5.2345 Å, b = 9.1418 Å, c = 10.2629 Å
α = 90.00°, β = 90.00°, γ = 90.00°
Closest atoms and distances in Å follow each position.
Fractional positions:
F 0.2308 0.4078 0.5197  1 Bi 2.05
F 0.1139 0.5906 0.2580  1 Bi 2.05
F 0.3861 0.9094 0.7580  1 Bi 2.05
F 0.8861 0.4094 0.7420  1 Bi 2.05
F 0.7692 0.5922 0.4803  1 Bi 2.05
F 0.2692 0.0922 0.0197  1 Bi 2.05
F 0.2516 0.7500 0.4925  1 Bi 2.05
F 0.3861 0.5906 0.7580  1 Bi 2.05
F 0.2484 0.7500 0.9925  1 Bi 2.05
F 0.8861 0.0906 0.7420  1 Bi 2.05
F 0.2692 0.4078 0.0197  1 Bi 2.05
F 0.3641 0.2500 0.7552  1 Bi 2.05
F 0.1359 0.2500 0.2552  1 Bi 2.05
F 0.6139 0.4094 0.2420  1 Bi 2.05
F 0.6139 0.0906 0.2420  1 Bi 2.05
F 0.7516 0.2500 0.0075  1 Bi 2.05
F 0.6359 0.7500 0.2448  1 Bi 2.05
F 0.8641 0.7500 0.7448  1 Bi 2.05
F 0.7692 0.9078 0.4803  1 Bi 2.05
F 0.7308 0.9078 0.9803  1 Bi 2.05
F 0.7308 0.5922 0.9803  1 Bi 2.05
F 0.1139 0.9094 0.2580  1 Bi 2.05
F 0.7484 0.2500 0.5075  1 Bi 2.05
F 0.2308 0.0922 0.5197  1 Bi 2.05
Bi 0.9439 0.7500 0.3689  6 F 2.05
Bi 0.4439 0.2500 0.1311  6 F 2.05
Bi 0.5561 0.7500 0.8689  6 F 2.05
Bi 0.0561 0.2500 0.6311  6 F 2.05

# 2
Material: Ca4TmPa3P8
Method: DFT, PBE
State: relaxed

Properties
Energy of formation from the pure elements ... -1.2978 eV/atom
Crystal system ... trigonal

a = 8.0985 Å, b = 8.1034 Å, c = 8.0984 Å
α = 119.98°, β = 120.00°, γ = 90.00°
Closest atoms and distances in Å follow each position.
Fractional positions:
P 0.7436 0.7309 0.4873  3 Pa 2.79, 3 Ca 2.94
P 0.7388 0.7294 0.9841  2 Pa 2.77, 1 Tm 2.81, 3 Ca 2.92-2.96
P 0.7547 0.2705 0.5093  2 Pa 2.78, 1 Tm 2.81, 3 Ca 2.92-2.96
P 0.7547 0.2706 0.0159  2 Pa 2.77, 1 Tm 2.81, 3 Ca 2.92-2.96
P 0.2564 0.2691 0.5127  3 Pa 2.79, 3 Ca 2.94
P 0.2453 0.7295 0.4907  2 Pa 2.78, 1 Tm 2.81, 3 Ca 2.92-2.96
P 0.2612 0.2706 0.0159  2 Pa 2.77, 1 Tm 2.81, 3 Ca 2.92-2.96
P 0.2453 0.7294 0.9841  2 Pa 2.77, 1 Tm 2.81, 3 Ca 2.92-2.96
Ca 0.5000 0.0000 0.0000  6 P 2.92
Ca 0.0000 0.0000 0.5000  6 P 2.94-2.96
Ca 0.5000 0.0000 0.5000  6 P 2.94-2.96
Ca 0.0000 0.0000 0.0000  6 P 2.94-2.96
Tm 0.0000 0.5000 0.0000  6 P 2.81
Pa 0.5000 0.5000 0.5000  6 P 2.77-2.79
Pa 0.0000 0.5000 0.5000  6 P 2.77-2.79
Pa 0.5000 0.5000 0.0000  6 P 2.77-2.79

# 3
Material: VZnH
Method: DFT, PBE
State: relaxed

Properties
DFT total energy ... -27.0 eV/cell
Crystal system ... monoclinic

a = 8.5582 Å, b = 5.1630 Å, c = 5.1630 Å
α = 148.05°, β = 145.51°, γ = 34.49°
Closest atoms and distances in Å follow each position.
Fractional positions:
H 0.0951 0.5726 0.4274  3 V 1.80-1.83
H 0.0583 0.9088 0.0912  3 Zn 1.81-1.88, 1 V 1.98
Zn 0.7119 0.2625 0.7375  1 H 1.81
Zn 0.2982 0.1670 0.8330  2 H 1.88
V 0.8233 0.9126 0.0874  2 H 1.83-1.98
V 0.3423 0.8684 0.1316  2 H 1.80

# 4
Material: Pr5Nd12Dy2
Method: DFT, PBE
State: relaxed

Properties
Energy of formation from the pure elements ... 0.1622 eV/atom
Crystal system ... monoclinic

a = 7.2753 Å, b = 10.1483 Å, c = 10.5723 Å
α = 69.82°, β = 90.00°, γ = 111.01°
Closest atoms and distances in Å follow each position.
Fractional positions:
Nd 0.0237 0.0474 0.7597  1 Pr 2.94, 2 Dy 3.16
Nd 0.5927 0.6815 0.8664  6 Nd 3.49-3.71, 2 Pr 3.68, 1 Dy 3.78
Nd 0.0889 0.6815 0.8664  6 Nd 3.49-3.71, 2 Pr 3.68, 1 Dy 3.78
Nd 0.9111 0.3185 0.1336  6 Nd 3.49-3.71, 2 Pr 3.68, 1 Dy 3.78
Nd 0.0844 0.6668 0.5207  6 Nd 3.35-3.71, 1 Pr 3.58
Nd 0.5824 0.6668 0.5207  6 Nd 3.35-3.71, 1 Pr 3.58
Nd 0.4073 0.3185 0.1336  6 Nd 3.49-3.71, 2 Pr 3.68, 1 Dy 3.78
Nd 0.9763 0.9526 0.2403  1 Pr 2.94, 2 Dy 3.16
Nd 0.5023 0.0046 0.6789  7 Nd 3.49-3.82, 2 Dy 3.74, 1 Pr 3.86
Nd 0.9156 0.3332 0.4793  6 Nd 3.35-3.71, 1 Pr 3.58
Nd 0.4176 0.3332 0.4793  6 Nd 3.35-3.71, 1 Pr 3.58
Nd 0.4977 0.9954 0.3211  7 Nd 3.49-3.82, 2 Dy 3.74, 1 Pr 3.86
Pr 0.6738 0.3476 0.7921  2 Dy 3.59, 2 Pr 3.66, 9 Nd 3.78-3.97
Pr 0.1847 0.3693 0.8161  5 Nd 3.32-3.68, 2 Pr 3.66
Pr 0.0000 0.0000 0.5000  2 Nd 2.94
Pr 0.3262 0.6524 0.2079  2 Dy 3.59, 2 Pr 3.66, 9 Nd 3.78-3.97
Pr 0.8153 0.6307 0.1839  5 Nd 3.32-3.68, 2 Pr 3.66
Dy 0.2808 0.0000 0.0000  2 Nd 3.16, 1 Dy 3.19
Dy 0.7192 0.0000 0.0000  2 Nd 3.16, 1 Dy 3.19

# 5
Material: Tm2TlC
Method: DFT, PBE
State: relaxed

Properties
Energy of formation from the pure elements ... -0.4288 eV/atom
Crystal system ... trigonal

a = 3.5669 Å, b = 3.5669 Å, c = 8.2478 Å
α = 77.51°, β = 77.51°, γ = 60.00°
Closest atoms and distances in Å follow each position.
Fractional positions:
Tl 0.5000 0.5000 0.5000  6 Tm 3.38, 6 Tl 3.57
Tm 0.2783 0.2783 0.1652  3 C 2.45
Tm 0.7217 0.7217 0.8348  3 C 2.45
C 0.0000 0.0000 0.0000  6 Tm 2.45

# 6
Material: SrPmSbPt
Method: DFT, PBE
State: relaxed

Properties
E_form (uncorrected) ... -3.4 eV per formula unit
Crystal system ... cubic

a = 5.3681 Å, b = 5.3681 Å, c = 5.3681 Å
α = 60.00°, β = 60.00°, γ = 60.00°
Closest atoms and distances in Å follow each position.
Fractional positions:
Pm 0.0000 0.0000 0.0000  4 Sb 3.29, 4 Pt 3.29
Sr 0.5000 0.5000 0.5000  4 Pt 3.29, 4 Sb 3.29
Pt 0.7500 0.7500 0.7500  4 Pm 3.29, 4 Sr 3.29
Sb 0.2500 0.2500 0.2500  4 Sr 3.29, 4 Pm 3.29

Number 1: size of the total moment 1.06 μB per formula unit. Number 2: size of the total moment 0.00 μB per formula unit. Number 3: size of the total moment 0.00 μB per formula unit. Number 4: size of the total moment 0.00 μB per formula unit. Number 5: size of the total moment 0.00 μB per formula unit. Number 6: size of the total moment 0.00 μB per formula unit.